1.
A relaxed structure of Rb2TlIrI6. Source: Alexandria via LeMat-Bulk, functional PBE.

Geometry as extended XYZ:
```
10
Lattice="8.482 0.000 0.000 0.000 8.482 0.000 4.241 4.241 5.995" Properties=species:S:1:pos:R:3 pbc="T T T"
I 4.241 4.241 2.703
I 8.482 8.482 3.292
I 2.330 2.330 0.000
I 6.151 6.151 0.000
I 6.151 2.330 0.000
I 2.330 6.151 0.000
Tl 0.000 0.000 0.000
Ir 4.241 4.241 0.000
Rb 8.482 4.241 2.998
Rb 4.241 8.482 2.998
```

Output
**Density**: 5.12 Mg/m³
**Space-group type**: Fm-3m (225)
**DOS at the Fermi energy**: 0.000 states/eV per atom

---

2.
A relaxed structure of Ac3SiSb2Pd9. Source: Alexandria via LeMat-Bulk, functional PBE.

Geometry as extended XYZ:
```
15
Lattice="-6.492 -1.508 2.030 4.514 -5.136 -1.336 2.501 0.098 8.069" Properties=species:S:1:pos:R:3 pbc="T T T"
Ac 2.542 -3.860 5.260
Ac 0.000 0.000 0.000
Ac -2.019 -2.686 3.503
Si 1.250 0.049 4.035
Sb 1.352 -3.907 1.421
Sb -0.829 -2.639 7.342
Pd -3.253 -1.932 7.201
Pd -0.578 -4.976 6.409
Pd 0.594 -1.039 5.998
Pd -0.071 -5.507 2.765
Pd 1.101 -1.570 2.354
Pd 3.776 -4.614 1.562
Pd -3.246 -0.754 1.015
Pd 2.257 -2.568 -0.668
Pd -0.989 -3.322 0.347
```

Output
**Density**: 8.93 Mg/m³
**Space-group type**: P-3m1 (164)
**DOS at the Fermi energy**: 0.398 states/eV per atom

---

| no. | formation energy (no corrections) (eV/atom) |
| --- | --- |
| 1 | -0.706 |
| 2 | -0.653 |